[1]
MgCuTe2 | PBE | optimized geometry

Uncorrected energy, eV/cell: -10.9
Formation energy without anion corrections, eV/f.u.: 1.0
Space group: F-43m, No. 216

Cell and atoms, written as POSCAR:
```
MgCuTe2
1.0
5.120 0.000 0.000
2.560 4.434 0.000
2.560 1.478 4.180
Cu Mg Te
1 1 2
Direct
0.500 0.500 0.500 Cu
0.750 0.750 0.750 Mg
0.000 0.000 0.000 Te
0.250 0.250 0.250 Te
```

=====

[2]
Ce4TlHg | PBE | optimized geometry

Uncorrected energy, eV/cell: -27.1
Space group: Immm, No. 71
Formation energy, eV/f.u.: -0.7

Cell and atoms, written as POSCAR:
```
Ce4TlHg
1.0
-4.758 0.980 -1.649
-4.485 -1.748 3.921
-1.377 6.039 -0.419
Ce Tl Hg
4 1 1
Direct
0.742 0.581 0.934 Ce
0.742 0.934 0.581 Ce
0.258 0.419 0.066 Ce
0.258 0.066 0.419 Ce
0.500 0.500 0.500 Tl
0.000 0.000 0.000 Hg
```

=====

[3]
In2Pt2O7 | PBE | optimized geometry

Uncorrected energy, eV/cell: -128.3
Formation energy without anion corrections, eV/f.u.: -11.9
Space group: Fd-3m, No. 227

Cell and atoms, written as POSCAR:
```
In2Pt2O7
1.0
7.163 0.000 0.000
3.581 6.203 0.000
3.581 2.068 5.848
In Pt O
4 4 14
Direct
0.125 0.125 0.125 In
0.625 0.125 0.125 In
0.125 0.625 0.125 In
0.125 0.125 0.625 In
0.625 0.625 0.125 Pt
0.625 0.125 0.625 Pt
0.125 0.625 0.625 Pt
0.625 0.625 0.625 Pt
0.250 0.250 0.250 O
0.717 0.283 0.283 O
0.717 0.283 0.717 O
0.283 0.717 0.283 O
0.717 0.717 0.283 O
0.283 0.283 0.717 O
0.967 0.533 0.533 O
0.283 0.717 0.717 O
0.967 0.967 0.533 O
0.533 0.967 0.533 O
0.533 0.533 0.967 O
0.967 0.533 0.967 O
0.533 0.967 0.967 O
0.000 0.000 0.000 O
```

=====

> Number 3 is which compound?

In2Pt2O7